# 1
Below is Sr2ScS4 after structural relaxation, with properties calculated at the PBE level.

Total magnetization in Bohr magnetons per cell: 0.00
E in eV per atom: -5.452
Space-group type: I4/mmm

Cell: 4.9440 4.9440 8.2297 Å, 72.52 72.52 90.00°
Last column: nearest neighbours and their distance in Å.
Sites, in units of the cell vectors:
S1 0.1718 0.1718 0.6564  1 Sc 2.56
S2 0.0000 0.5000 0.0000  2 Sc 2.47
S3 0.5000 0.0000 0.0000  2 Sc 2.47
S4 0.8282 0.8282 0.3436  1 Sc 2.56
Sc1 0.0000 0.0000 0.0000  6 S 2.47-2.56
Sr1 0.3653 0.3653 0.2694  5 S 2.88-3.18
Sr2 0.6347 0.6347 0.7306  5 S 2.88-3.18

# 2
Below is Sr3Sc5S12 after structural relaxation, with properties calculated at the PBE level.

Total magnetization in Bohr magnetons per cell: 5.37
E in eV per atom: -5.901
Space-group type: Ia-3d

Cell: 13.8735 13.8735 13.8735 Å, 109.47 109.47 109.47°
Last column: nearest neighbours and their distance in Å.
Sites, in units of the cell vectors:
S1 0.0289 0.6160 0.7070  2 Sc 2.43-2.59
S2 0.7930 0.3219 0.9091  2 Sc 2.43-2.59
S3 0.0871 0.1781 0.4711  2 Sc 2.43-2.59
S4 0.8219 0.9091 0.2930  2 Sc 2.43-2.59
S5 0.2930 0.4091 0.8219  2 Sc 2.43-2.59
S6 0.3219 0.5289 0.4129  2 Sc 2.43-2.59
S7 0.7070 0.5909 0.1781  2 Sc 2.43-2.59
S8 0.9711 0.5871 0.1781  2 Sc 2.43-2.59
S9 0.4129 0.3840 0.5909  2 Sc 2.43-2.59
S10 0.9091 0.8219 0.7930  2 Sc 2.43-2.59
S11 0.4711 0.6781 0.0871  2 Sc 2.43-2.59
S12 0.6781 0.2070 0.5909  2 Sc 2.43-2.59
S13 0.6160 0.0289 0.2070  2 Sc 2.43-2.59
S14 0.1160 0.4091 0.0871  2 Sc 2.43-2.59
S15 0.7930 0.4711 0.3840  2 Sc 2.43-2.59
S16 0.4129 0.0289 0.3219  2 Sc 2.43-2.59
S17 0.7070 0.1160 0.0289  2 Sc 2.43-2.59
S18 0.5289 0.3219 0.9129  2 Sc 2.43-2.59
S19 0.5909 0.8840 0.4129  2 Sc 2.43-2.59
S20 0.5871 0.9711 0.6781  2 Sc 2.43-2.59
S21 0.0909 0.1781 0.2070  2 Sc 2.43-2.59
S22 0.4711 0.7930 0.8840  2 Sc 2.43-2.59
S23 0.2070 0.5289 0.6160  2 Sc 2.43-2.59
S24 0.5909 0.7070 0.6781  2 Sc 2.43-2.59
S25 0.0289 0.4129 0.8219  2 Sc 2.43-2.59
S26 0.9091 0.0871 0.6160  2 Sc 2.43-2.59
S27 0.4091 0.1160 0.5871  2 Sc 2.43-2.59
S28 0.1160 0.7070 0.5289  2 Sc 2.43-2.59
S29 0.5289 0.2070 0.1160  2 Sc 2.43-2.59
S30 0.2070 0.6781 0.0909  2 Sc 2.43-2.59
S31 0.6781 0.4711 0.5871  2 Sc 2.43-2.59
S32 0.9129 0.0909 0.8840  2 Sc 2.43-2.59
S33 0.3219 0.7930 0.4091  2 Sc 2.43-2.59
S34 0.9711 0.3840 0.2930  2 Sc 2.43-2.59
S35 0.2930 0.8840 0.9711  2 Sc 2.43-2.59
S36 0.8840 0.5909 0.9129  2 Sc 2.43-2.59
S37 0.3840 0.9711 0.7930  2 Sc 2.43-2.59
S38 0.0871 0.9091 0.1160  2 Sc 2.43-2.59
S39 0.4091 0.2930 0.3219  2 Sc 2.43-2.59
S40 0.1781 0.0909 0.7070  2 Sc 2.43-2.59
S41 0.9129 0.8219 0.5289  2 Sc 2.43-2.59
S42 0.8840 0.2930 0.4711  2 Sc 2.43-2.59
S43 0.0909 0.9129 0.3840  2 Sc 2.43-2.59
S44 0.5871 0.6160 0.4091  2 Sc 2.43-2.59
S45 0.8219 0.9129 0.0289  2 Sc 2.43-2.59
S46 0.6160 0.5871 0.9091  2 Sc 2.43-2.59
S47 0.1781 0.0871 0.9711  2 Sc 2.43-2.59
S48 0.3840 0.4129 0.0909  2 Sc 2.43-2.59
Sr1 0.8750 0.1250 0.2500  8 S 3.11-3.14
Sr2 0.1250 0.2500 0.8750  8 S 3.11-3.14
Sr3 0.7500 0.8750 0.6250  8 S 3.11-3.14
Sr4 0.2500 0.6250 0.8750  8 S 3.11-3.14
Sr5 0.6250 0.2500 0.3750  8 S 3.11-3.14
Sr6 0.8750 0.7500 0.1250  8 S 3.11-3.14
Sr7 0.2500 0.1250 0.3750  8 S 3.11-3.14
Sr8 0.6250 0.3750 0.7500  8 S 3.11-3.14
Sr9 0.3750 0.7500 0.6250  8 S 3.11-3.14
Sr10 0.3750 0.6250 0.2500  8 S 3.11-3.14
Sr11 0.1250 0.8750 0.7500  8 S 3.11-3.14
Sr12 0.7500 0.3750 0.1250  8 S 3.11-3.14
Sc1 0.0000 0.5000 0.5000  6 S 2.59
Sc2 0.7500 0.6250 0.3750  4 S 2.43
Sc3 0.1250 0.3750 0.2500  4 S 2.43
Sc4 0.0000 0.0000 0.0000  6 S 2.59
Sc5 0.5000 0.0000 0.5000  6 S 2.59
Sc6 0.5000 0.5000 0.0000  6 S 2.59
Sc7 0.6250 0.8750 0.2500  4 S 2.43
Sc8 0.2500 0.8750 0.1250  4 S 2.43
Sc9 0.3750 0.2500 0.1250  4 S 2.43
Sc10 0.0000 0.0000 0.5000  6 S 2.59
Sc11 0.7500 0.1250 0.8750  4 S 2.43
Sc12 0.5000 0.5000 0.5000  6 S 2.59
Sc13 0.3750 0.1250 0.7500  4 S 2.43
Sc14 0.8750 0.2500 0.6250  4 S 2.43
Sc15 0.6250 0.7500 0.8750  4 S 2.43
Sc16 0.0000 0.5000 0.0000  6 S 2.59
Sc17 0.2500 0.3750 0.6250  4 S 2.43
Sc18 0.8750 0.6250 0.7500  4 S 2.43
Sc19 0.5000 0.0000 0.0000  6 S 2.59
Sc20 0.1250 0.7500 0.3750  4 S 2.43